# Na2ZrU2S6

A geometry-optimized Na2ZrU2S6 structure (PBE-GGA, the Alexandria database).

Calculated values
uncorrected energy: -74.17 eV for the cell shown
total magnetic moment: 6.0 μB per formula unit
ΔE_f (raw): -137.17 kJ per mole of atoms
V: 265.5 Å³/cell

```
Na2ZrU2S6
1.0
0.0310 -5.4342 3.8798
-2.6028 -0.3431 -6.1394
6.9737 0.1379 -1.7631
Na Zr U S
2 1 2 6
Cartesian
-0.4089 -4.5839 2.2065 Na
-2.1629 -1.1933 -4.4661 Na
3.4869 0.0690 -0.8815 Zr
1.7663 -1.9794 -3.6650 U
2.6356 -3.6599 -0.3577 U
3.1038 -4.2592 -2.9802 S
4.0018 -0.4251 -3.4272 S
1.2981 -1.3801 -1.0425 S
4.8571 -2.0783 -0.1736 S
0.4001 -5.2143 -0.5955 S
-0.4552 -3.5610 -3.8491 S
```